A:
First-principles (PBE) data for a geometry-optimized CrTc3B structure, as listed in Alexandria via LeMat-Bulk.

abc: 4.383 4.383 4.383
angles: 90.00 90.00 90.00
Last column: magnetic moment on the atom in μB.
Fractional coordinates of all 5 atoms:
Tc 0.000 0.000 0.500  0.77
Cr 0.000 0.000 0.000  -0.27
Tc 0.500 0.000 0.000  0.76
Tc 0.000 0.500 0.000  0.72
B 0.500 0.500 0.500  -0.04

Output
The crystal system is cubic.

B:
First-principles (PBE) data for a geometry-optimized CrTc3B structure, as listed in Alexandria via LeMat-Bulk.

abc: 4.200 4.914 7.404
angles: 111.48 90.00 115.30
Fractional coordinates of all 10 atoms:
B 0.878 0.757 0.065
Cr 0.613 0.226 0.439
Tc 0.618 0.236 0.924
Cr 0.387 0.774 0.561
Tc 0.864 0.727 0.766
Tc 0.136 0.273 0.234
B 0.122 0.243 0.935
Tc 0.382 0.764 0.076
Tc 0.140 0.279 0.656
Tc 0.860 0.721 0.344

Output
The crystal system is monoclinic.

B (2007 meV per atom below the next structure)

A:
First-principles (PBE) data for a geometry-optimized Cr3TcB structure, as listed in Alexandria via LeMat-Bulk.

abc: 4.570 4.570 4.570
angles: 90.00 90.00 90.00
Last column: magnetic moment on the atom in μB.
Fractional coordinates of all 5 atoms:
Cr 0.000 0.000 0.500  2.54
Cr 0.000 0.500 0.000  2.81
Cr 0.500 0.000 0.000  3.28
B 0.500 0.500 0.500  -0.18
Tc 0.000 0.000 0.000  -0.79

Output
The crystal system is cubic.

B:
First-principles (PBE) data for a geometry-optimized Cr3TcB structure, as listed in Alexandria via LeMat-Bulk.

abc: 3.883 3.883 3.883
angles: 90.00 90.00 90.00
Fractional coordinates of all 5 atoms:
Cr 0.000 0.000 0.500
Tc 0.500 0.500 0.500
Cr 0.000 0.500 0.000
Cr 0.500 0.000 0.000
B 0.000 0.000 0.000

Output
The crystal system is cubic.

B (1833 meV per atom below the next structure)

A:
First-principles (PBE) data for a geometry-optimized CrTcB2 structure, as listed in Alexandria via LeMat-Bulk.

abc: 3.760 3.760 3.760
angles: 60.00 60.00 60.00
Fractional coordinates of all 4 atoms:
B 0.750 0.750 0.750
B 0.250 0.250 0.250
Tc 0.500 0.500 0.500
Cr 0.000 0.000 0.000

Output
The crystal system is cubic.

B:
First-principles (PBE) data for a geometry-optimized CrTcB2 structure, as listed in Alexandria via LeMat-Bulk.

abc: 5.498 5.498 4.733
angles: 54.49 54.49 90.00
Fractional coordinates of all 8 atoms:
Cr 0.500 0.500 0.000
B 0.136 0.625 0.250
Cr 0.250 0.750 0.500
B 0.375 0.386 0.750
Tc 0.000 0.000 0.000
B 0.614 0.125 0.250
B 0.875 0.864 0.750
Tc 0.750 0.250 0.500

Output
The crystal system is tetragonal.

A (63 meV per atom below the next structure)

A:
First-principles (PBE) data for a geometry-optimized CrBTe3 structure, as listed in Alexandria via LeMat-Bulk.

abc: 4.785 4.785 4.785
angles: 90.00 90.00 90.00
Last column: magnetic moment on the atom in μB.
Fractional coordinates of all 5 atoms:
Te 0.000 0.000 0.500  0.04
Te 0.500 0.000 0.000  0.01
B 0.000 0.000 0.000  0.02
Cr 0.500 0.500 0.500  -0.34
Te 0.000 0.500 0.000  0.05

Output
The crystal system is cubic.

B:
First-principles (PBE) data for a geometry-optimized CrBTe3 structure, as listed in Alexandria via LeMat-Bulk.

abc: 5.209 5.209 5.209
angles: 90.00 90.00 90.00
Last column: magnetic moment on the atom in μB.
Fractional coordinates of all 5 atoms:
Cr 0.000 0.000 0.000  2.69
Te 0.000 0.000 0.500  -0.13
B 0.500 0.500 0.500  0.10
Te 0.000 0.500 0.000  -0.16
Te 0.500 0.000 0.000  -0.17

Output
The crystal system is cubic.

B (49 meV per atom below the next structure)

A:
First-principles (PBE) data for a geometry-optimized CrB3Te structure, as listed in Alexandria via LeMat-Bulk.

abc: 4.040 4.040 4.040
angles: 90.00 90.00 90.00
Fractional coordinates of all 5 atoms:
Te 0.500 0.500 0.500
Cr 0.000 0.000 0.000
B 0.000 0.000 0.500
B 0.500 0.000 0.000
B 0.000 0.500 0.000

Output
The crystal system is cubic.

B:
First-principles (PBE) data for a geometry-optimized CrB3Te structure, as listed in Alexandria via LeMat-Bulk.

abc: 4.354 4.354 4.354
angles: 90.00 90.00 90.00
Last column: magnetic moment on the atom in μB.
Fractional coordinates of all 5 atoms:
Cr 0.500 0.500 0.500  0.22
B 0.500 0.000 0.000  0.03
B 0.000 0.000 0.500  -0.02
Te 0.000 0.000 0.000  -0.01
B 0.000 0.500 0.000  0.00

Output
The crystal system is cubic.

A (1323 meV per atom below the next structure)

A:
First-principles (PBE) data for a geometry-optimized Cr2BTe structure, as listed in Alexandria via LeMat-Bulk.

abc: 5.298 5.298 6.471
angles: 65.83 65.83 90.00
Last column: magnetic moment on the atom in μB.
Fractional coordinates of all 8 atoms:
Cr 0.375 0.476 0.750  2.61
Cr 0.226 0.625 0.250  2.54
Te 0.000 0.000 0.000  -0.18
Cr 0.875 0.774 0.750  2.60
Cr 0.524 0.125 0.250  2.49
B 0.250 0.750 0.500  -0.26
Te 0.750 0.250 0.500  -0.18
B 0.500 0.500 0.000  -0.26

Output
The crystal system is tetragonal.

B:
First-principles (PBE) data for a geometry-optimized Cr2BTe structure, as listed in Alexandria via LeMat-Bulk.

abc: 4.188 4.188 4.188
angles: 60.00 60.00 60.00
Last column: magnetic moment on the atom in μB.
Fractional coordinates of all 4 atoms:
Cr 0.750 0.750 0.750  1.18
Cr 0.250 0.250 0.250  1.18
Te 0.500 0.500 0.500  -0.06
B 0.000 0.000 0.000  -0.12

Output
The crystal system is cubic.

A (225 meV per atom below the next structure)

A:
First-principles (PBE) data for a geometry-optimized TiCrB structure, as listed in Alexandria via LeMat-Bulk.

abc: 3.149 6.077 10.305
angles: 90.00 90.00 90.00
Fractional coordinates of all 18 atoms:
Cr 0.500 0.568 0.618
Cr 0.500 0.432 0.118
B 0.000 0.452 0.750
Cr 0.500 0.568 0.882
Cr 0.500 0.432 0.382
B 0.000 0.548 0.250
B 0.500 0.948 0.585
Ti 0.000 0.765 0.450
B 0.500 0.052 0.085
Ti 0.000 0.235 0.550
Ti 0.000 0.149 0.250
Cr 0.500 0.800 0.250
Ti 0.000 0.765 0.050
B 0.500 0.948 0.915
Cr 0.500 0.200 0.750
B 0.500 0.052 0.415
Ti 0.000 0.235 0.950
Ti 0.000 0.851 0.750

Output
The crystal system is orthorhombic.

B:
First-principles (PBE) data for a geometry-optimized TiCrB structure, as listed in Alexandria via LeMat-Bulk.

abc: 2.915 2.915 4.436
angles: 109.19 109.19 90.00
Last column: magnetic moment on the atom in μB.
Fractional coordinates of all 3 atoms:
Ti 0.608 0.608 0.217  0.09
B 0.925 0.925 0.851  -0.02
Cr 0.316 0.316 0.632  0.88

Output
The crystal system is tetragonal.

A (331 meV per atom below the next structure)

A:
First-principles (PBE) data for a geometry-optimized TiCrB structure, as listed in Alexandria via LeMat-Bulk.

abc: 3.089 4.586 5.264
angles: 74.41 72.94 70.32
Fractional coordinates of all 6 atoms:
Ti 0.415 0.339 0.831
Cr 0.808 0.802 0.581
B 0.882 0.085 0.150
B 0.118 0.915 0.850
Cr 0.192 0.198 0.419
Ti 0.585 0.661 0.169

Output
The crystal system is monoclinic.

B:
First-principles (PBE) data for a geometry-optimized TiCrB structure, as listed in Alexandria via LeMat-Bulk.

abc: 4.950 4.950 6.102
angles: 90.00 90.00 90.00
Fractional coordinates of all 12 atoms:
Cr 0.686 0.314 0.750
Cr 0.814 0.814 0.500
Ti 0.222 0.222 0.500
Cr 0.314 0.686 0.250
B 0.030 0.970 0.250
Ti 0.778 0.778 0.000
B 0.530 0.530 0.500
Ti 0.722 0.278 0.250
Cr 0.186 0.186 0.000
Ti 0.278 0.722 0.750
B 0.470 0.470 0.000
B 0.970 0.030 0.750

Output
The crystal system is tetragonal.

A (435 meV per atom below the next structure)

A:
First-principles (PBE) data for a geometry-optimized YTiCrB2 structure, as listed in Alexandria via LeMat-Bulk.

abc: 4.159 4.169 4.159
angles: 90.00 90.00 90.00
Fractional coordinates of all 5 atoms:
B 0.000 0.000 0.500
Y 0.500 0.500 0.500
Cr 0.000 0.000 0.000
Ti 0.000 0.500 0.000
B 0.500 0.000 0.000

Output
The crystal system is tetragonal.

B:
First-principles (PBE) data for a geometry-optimized YTiCrB2 structure, as listed in Alexandria via LeMat-Bulk.

abc: 4.425 4.447 4.425
angles: 90.00 90.00 90.00
Fractional coordinates of all 5 atoms:
Y 0.000 0.000 0.000
B 0.500 0.000 0.000
Ti 0.500 0.500 0.500
Cr 0.000 0.500 0.000
B 0.000 0.000 0.500

Output
The crystal system is tetragonal.

A (1857 meV per atom below the next structure)

A:
First-principles (PBE) data for a geometry-optimized TlCrB3 structure, as listed in Alexandria via LeMat-Bulk.

abc: 4.406 4.406 4.406
angles: 90.00 90.00 90.00
Last column: magnetic moment on the atom in μB.
Fractional coordinates of all 5 atoms:
B 0.000 0.500 0.000  0.00
B 0.500 0.000 0.000  0.01
Cr 0.500 0.500 0.500  0.28
B 0.000 0.000 0.500  -0.03
Tl 0.000 0.000 0.000  0.00

Output
The crystal system is cubic.

B:
First-principles (PBE) data for a geometry-optimized TlCrB3 structure, as listed in Alexandria via LeMat-Bulk.

abc: 4.082 4.082 4.082
angles: 90.00 90.00 90.00
Last column: magnetic moment on the atom in μB.
Fractional coordinates of all 5 atoms:
Cr 0.000 0.000 0.000  0.63
B 0.000 0.000 0.500  0.00
Tl 0.500 0.500 0.500  0.07
B 0.500 0.000 0.000  0.00
B 0.000 0.500 0.000  -0.01

Output
The crystal system is cubic.

B (1853 meV per atom below the next structure)

A:
First-principles (PBE) data for a geometry-optimized Tl2CrB structure, as listed in Alexandria via LeMat-Bulk.

abc: 4.853 4.853 4.853
angles: 60.00 60.00 60.00
Last column: magnetic moment on the atom in μB.
Fractional coordinates of all 4 atoms:
Tl 0.750 0.750 0.750  0.03
B 0.000 0.000 0.000  -0.04
Cr 0.500 0.500 0.500  3.88
Tl 0.250 0.250 0.250  0.03

Output
The crystal system is cubic.

B:
First-principles (PBE) data for a geometry-optimized Tl2CrB structure, as listed in Alexandria via LeMat-Bulk.

abc: 8.983 8.983 6.702
angles: 47.92 47.92 90.00
Last column: magnetic moment on the atom in μB.
Fractional coordinates of all 8 atoms:
Tl 0.259 0.625 0.250  0.02
Cr 0.750 0.250 0.500  -3.23
B 0.250 0.750 0.500  0.10
Tl 0.491 0.125 0.250  0.02
B 0.500 0.500 0.000  0.10
Tl 0.875 0.741 0.750  0.02
Tl 0.375 0.509 0.750  0.02
Cr 0.000 0.000 0.000  -3.22

Output
The crystal system is tetragonal.

B (421 meV per atom below the next structure)

A:
First-principles (PBE) data for a geometry-optimized Tl3CrB structure, as listed in Alexandria via LeMat-Bulk.

abc: 4.881 4.881 4.881
angles: 90.00 90.00 90.00
Last column: magnetic moment on the atom in μB.
Fractional coordinates of all 5 atoms:
Tl 0.000 0.500 0.000  -0.01
B 0.000 0.000 0.000  -0.03
Tl 0.000 0.000 0.500  -0.01
Tl 0.500 0.000 0.000  0.00
Cr 0.500 0.500 0.500  0.60

Output
The crystal system is cubic.

B:
First-principles (PBE) data for a geometry-optimized Tl3CrB structure, as listed in Alexandria via LeMat-Bulk.

abc: 5.283 5.283 5.283
angles: 90.00 90.00 90.00
Last column: magnetic moment on the atom in μB.
Fractional coordinates of all 5 atoms:
Tl 0.000 0.000 0.500  0.04
Cr 0.000 0.000 0.000  3.05
Tl 0.000 0.500 0.000  0.00
B 0.500 0.500 0.500  -0.27
Tl 0.500 0.000 0.000  -0.06

Output
The crystal system is cubic.

B (111 meV per atom below the next structure)